The following is a PBE calculation of a relaxed structure of Nd5Co19B6, from OQMD via LeMat-Bulk.

Lattice parameters (Å, degrees): 5.114 5.114 16.600 90.00 90.00 120.00
Site moments in Bohr magnetons follow the coordinates.
Sites, in units of the cell vectors:
Co (0.500, 0.000, 0.000)  0.14
Co (0.500, 0.500, 0.000)  0.15
Nd (0.000, 0.000, 0.093)  -0.07
Co (0.667, 0.333, 0.295)  1.68
Nd (0.000, 0.000, 0.705)  -0.15
Co (0.667, 0.333, 0.705)  1.67
Co (0.500, 0.500, 0.826)  0.73
B (0.667, 0.333, 0.088)  -0.03
B (0.667, 0.333, 0.912)  -0.03
Co (0.000, 0.500, 0.586)  0.76
B (0.667, 0.333, 0.500)  -0.05
Co (0.500, 0.000, 0.586)  0.75
Co (0.500, 0.000, 0.414)  0.75
Nd (0.000, 0.000, 0.295)  -0.15
B (0.333, 0.667, 0.500)  -0.05
Co (0.000, 0.500, 0.826)  0.72
Co (0.000, 0.500, 0.000)  0.12
B (0.333, 0.667, 0.912)  -0.03
Co (0.333, 0.667, 0.705)  1.68
Co (0.500, 0.500, 0.414)  0.80
Nd (0.000, 0.000, 0.500)  -0.14
Co (0.500, 0.000, 0.826)  0.70
Nd (0.000, 0.000, 0.907)  -0.07
Co (0.500, 0.000, 0.174)  0.70
Co (0.000, 0.500, 0.174)  0.72
B (0.333, 0.667, 0.088)  -0.03
Co (0.500, 0.500, 0.174)  0.73
Co (0.500, 0.500, 0.586)  0.80
Co (0.000, 0.500, 0.414)  0.76
Co (0.333, 0.667, 0.295)  1.67

## Properties
- Calculated total energy: -6.88 eV per atom
- Space group: P6/mmm (191)

---

The following is a PBE calculation of a relaxed structure of NdCoB4, from OQMD via LeMat-Bulk.

Lattice parameters (Å, degrees): 4.948 4.948 4.948 143.07 114.58 77.57
Site moments in Bohr magnetons follow the coordinates.
Sites, in units of the cell vectors:
Nd (0.000, 0.000, 0.000)  -0.02
B (0.418, 0.754, 0.664)  0.02
Co (0.500, 0.500, 0.000)  1.49
B (0.090, 0.754, 0.336)  0.02
B (0.582, 0.246, 0.336)  0.02
B (0.910, 0.246, 0.664)  0.02

## Properties
- Calculated total energy: -6.34 eV per atom
- Energy above the lowest structure with this stoichiometry: 277.0 meV/atom
- Space group: Immm (71)

---

The following is a PBE calculation of a relaxed structure of Nd2Co7B3, from OQMD via LeMat-Bulk.

Lattice parameters (Å, degrees): 5.121 5.121 12.725 90.00 90.00 120.01
Site moments in Bohr magnetons follow the coordinates.
Sites, in units of the cell vectors:
Co (0.500, 0.000, 0.157)  0.67
B (0.333, 0.667, 0.500)  -0.01
Co (0.000, 0.500, 0.843)  0.68
B (0.667, 0.333, 0.269)  -0.03
B (0.667, 0.333, 0.731)  -0.03
Co (0.000, 0.500, 0.615)  0.11
B (0.667, 0.333, 0.500)  -0.01
Co (0.500, 0.000, 0.843)  0.67
Co (0.500, 0.500, 0.843)  0.67
Co (0.500, 0.500, 0.157)  0.68
Co (0.000, 0.500, 0.385)  0.11
B (0.333, 0.667, 0.269)  -0.03
Nd (0.000, 0.000, 0.500)  -0.01
Nd (0.000, 0.000, 0.000)  -0.15
B (0.333, 0.667, 0.731)  -0.03
Nd (0.000, 0.000, 0.261)  -0.07
Co (0.500, 0.500, 0.385)  0.12
Co (0.500, 0.000, 0.615)  0.12
Co (0.333, 0.667, 0.000)  1.62
Co (0.500, 0.000, 0.385)  0.12
Co (0.000, 0.500, 0.157)  0.68
Co (0.500, 0.500, 0.615)  0.12
Co (0.667, 0.333, 0.000)  1.62
Nd (0.000, 0.000, 0.739)  -0.07

## Properties
- Calculated total energy: -6.91 eV per atom
- Space group: P6/mmm (191)

---

The following is a PBE calculation of a relaxed structure of NdCoB4, from OQMD via LeMat-Bulk.

Lattice parameters (Å, degrees): 3.193 3.193 6.738 90.00 90.00 120.00
Sites, in units of the cell vectors:
B (0.333, 0.667, 0.687)
Nd (0.000, 0.000, 0.000)
Co (0.000, 0.000, 0.500)
B (0.333, 0.667, 0.313)
B (0.667, 0.333, 0.313)
B (0.667, 0.333, 0.687)

## Properties
- Calculated total energy: -6.62 eV per atom
- Energy above the lowest structure with this stoichiometry: 0.0 meV/atom
- Space group: P6/mmm (191)

---

The following is a PBE calculation of a relaxed structure of Nd3Co11B4, from OQMD via LeMat-Bulk.

Lattice parameters (Å, degrees): 5.121 5.121 9.728 90.00 90.00 120.00
Site moments in Bohr magnetons follow the coordinates.
Sites, in units of the cell vectors:
Co (0.500, 0.500, 0.204)  0.69
Nd (0.000, 0.000, 0.000)  -0.16
B (0.333, 0.667, 0.350)  -0.03
Co (0.000, 0.500, 0.796)  0.69
B (0.667, 0.333, 0.350)  -0.03
Co (0.500, 0.500, 0.796)  0.69
Nd (0.000, 0.000, 0.658)  -0.08
Nd (0.000, 0.000, 0.342)  -0.08
Co (0.500, 0.000, 0.204)  0.69
Co (0.000, 0.500, 0.500)  0.12
Co (0.667, 0.333, 0.000)  1.67
B (0.333, 0.667, 0.650)  -0.03
Co (0.500, 0.000, 0.500)  0.12
B (0.667, 0.333, 0.650)  -0.03
Co (0.500, 0.000, 0.796)  0.69
Co (0.000, 0.500, 0.204)  0.69
Co (0.500, 0.500, 0.500)  0.12
Co (0.333, 0.667, 0.000)  1.67

## Properties
- Calculated total energy: -6.90 eV per atom
- Space group: P6/mmm (191)

---

The following is a PBE calculation of a relaxed structure of NdCoB4, from OQMD via LeMat-Bulk.

Lattice parameters (Å, degrees): 4.989 4.989 4.989 143.40 115.11 76.86
Site moments in Bohr magnetons follow the coordinates.
Sites, in units of the cell vectors:
B (0.416, 0.749, 0.667)  0.02
B (0.918, 0.251, 0.667)  0.02
B (0.584, 0.251, 0.333)  0.02
Co (0.000, 0.000, 0.000)  1.53
Nd (0.500, 0.500, 0.000)  -0.02
B (0.082, 0.749, 0.333)  0.02

## Properties
- Calculated total energy: -6.35 eV per atom
- Energy above the lowest structure with this stoichiometry: 273.3 meV/atom
- Space group: Immm (71)